The following is a PBE calculation of crystalline TbDyEr4S8 at its relaxed geometry, from the Alexandria database.

POSCAR file:
```
TbDyEr4S8
1.0
7.997 0.000 0.000
3.998 6.925 0.000
3.998 2.308 6.543
S Er Dy Tb
8 4 1 1
Cartesian
10.125 3.388 4.832
7.997 7.075 4.832
3.998 2.308 1.817
5.891 5.833 1.700
5.868 3.388 4.832
11.995 6.925 4.758
10.102 5.833 1.700
7.997 2.185 1.700
7.997 4.617 0.813
10.000 8.077 3.270
11.995 4.622 3.270
13.990 8.077 3.270
11.995 6.925 0.004
7.997 4.617 5.733
```

Summary:
mass density	5.71	g/cm3
volume	362.4	Å³ per cell
spin magnetization	0.000	μB per atom
DOS at the Fermi energy	8.3	states/eV per cell
symmetry	No. 160
energy relative to the elements, uncorrected	-2603	kJ/mol of formula units

The following is a PBE calculation of crystalline MnRe2Sb at its relaxed geometry, from the Alexandria database.

POSCAR file:
```
MnRe2Sb
1.0
4.840 0.037 0.000
1.521 4.595 0.000
-3.181 -2.316 2.819
Re Sb Mn
2 1 1
Cartesian
0.761 2.298 1.410
0.000 0.000 0.000
3.181 2.316 0.000
2.420 0.018 1.410
```

Summary:
mass density	14.58	g/cm3
volume	62.6	Å³ per cell
spin magnetization	0.671	μB per atom
DOS at the Fermi energy	3.6	states/eV per cell
symmetry	No. 119
energy relative to the elements, uncorrected	166	kJ/mol of formula units

The following is a PBE calculation of crystalline NdHo4Th at its relaxed geometry, from the Alexandria database.

POSCAR file:
```
NdHo4Th
1.0
-5.066 -0.665 -4.120
1.077 -0.761 -6.429
-1.166 -5.791 -2.860
Ho Th Nd
4 1 1
Cartesian
-2.638 -1.628 -6.949
-3.217 -4.504 -8.370
-0.701 -4.174 -6.324
-3.752 -4.127 -5.177
-1.288 -1.804 -3.352
0.000 0.000 0.000
```

Summary:
energy relative to the lowest polymorph listed for this composition	0.328	eV/atom
mass density	8.60	g/cm3
volume	199.9	Å³ per cell
spin magnetization	0.527	μB per atom
DOS at the Fermi energy	13.9	states/eV per cell
symmetry	No. 216

The following is a PBE calculation of crystalline InSnAs2 at its relaxed geometry, from the Alexandria database.

POSCAR file:
```
InSnAs2
1.0
4.243 0.000 0.000
2.122 3.675 0.000
2.122 1.225 7.925
As Sn In
2 1 1
Cartesian
6.365 3.675 2.569
2.122 1.225 5.356
4.243 2.450 3.962
0.000 0.000 0.000
```

Summary:
energy relative to the lowest polymorph listed for this composition	0.302	eV/atom
mass density	5.15	g/cm3
volume	123.6	Å³ per cell
spin magnetization	0.000	μB per atom
DOS at the Fermi energy	2.1	states/eV per cell
symmetry	No. 166

The following is a PBE calculation of crystalline TmMnSb3 at its relaxed geometry, from the Alexandria database.

POSCAR file:
```
TmMnSb3
1.0
-5.799 -1.275 0.894
1.341 -2.108 5.693
-1.808 11.510 4.688
Sb Mn Tm
12 4 4
Cartesian
-5.737 7.883 4.276
-0.529 0.244 6.999
-2.802 3.564 7.072
-0.564 5.201 3.756
-5.508 8.969 7.307
-2.169 7.470 6.666
0.098 4.201 6.625
-0.757 -0.842 3.968
-3.000 10.222 5.198
-3.265 -2.095 6.078
-4.097 0.657 4.609
-3.464 4.563 4.203
-2.742 -0.035 2.330
0.158 0.602 1.883
-3.524 8.162 8.945
-0.625 8.800 8.498
-1.337 2.205 4.554
-4.929 5.922 6.721
-2.689 7.597 3.474
-3.577 0.530 7.802
```

Summary:
mass density	8.35	g/cm3
volume	468.9	Å³ per cell
spin magnetization	0.528	μB per atom
DOS at the Fermi energy	9.8	states/eV per cell
symmetry	No. 57
energy relative to the elements, uncorrected	-207	kJ/mol of formula units

- Which value of mass density does entry 3 give?
  8.60 g/cm3

- mass density of number 5 (TmMnSb3)?
  8.35 g/cm3

- Look up the DOS at the Fermi energy of the fifth one.
  9.8 states/eV per cell

- Among the records above, which one has the lowest volume?
  MnRe2Sb